[1]
VASP calculation (PBE) on crystalline Cu2NiAs at its relaxed geometry.

It has space group I-42d (No. 122), with a = 6.837 Å, b = 6.837 Å, c = 4.758 Å, α = 90.00°, β = 90.00° and γ = 90.00°. Symmetry generates all atoms from Cu at (0.247, 0.250, 0.125), Ni at (0.000, 0.000, 0.500) and As at (0.000, 0.000, 0.000).

For the density of states at the Fermi level, the calculation gives 2.52 states/eV/f.u. Its volume is 13.9 Å³/atom. For the total energy, the calculation gives -4.45 eV/atom.

---

[2]
VASP calculation (PBE) on crystalline Cu2NiAs at its relaxed geometry.

It has space group I-4m2 (No. 119), with a = 3.726 Å, b = 3.726 Å, c = 7.269 Å, α = 90.00°, β = 90.00° and γ = 90.00°. Symmetry generates all atoms from Cu at (0.000, 0.000, 0.000), Cu at (0.000, 0.500, 0.250), Ni at (0.000, 0.500, 0.750) and As at (0.000, 0.000, 0.500).

For the density of states at the Fermi level, the calculation gives 1.56 states/eV/f.u. Its volume is 12.6 Å³/atom. For the total energy, the calculation gives -4.67 eV/atom.

---

[3]
VASP calculation (PBE) on crystalline Cu2Ni2As at its relaxed geometry.

It has space group P4/mbm (No. 127), with a = 6.735 Å, b = 6.735 Å, c = 2.830 Å, α = 90.00°, β = 90.00° and γ = 90.00°. Symmetry generates all atoms from Cu at (0.133, 0.367, 0.000), Ni at (0.161, 0.661, 0.500) and As at (0.000, 0.000, 0.000).

For the density of states at the Fermi level, the calculation gives 3.58 states/eV/f.u. Its volume is 12.8 Å³/atom. For the total energy, the calculation gives -4.69 eV/atom.

---

[4]
VASP calculation (PBE) on crystalline Cu2NiAs at its relaxed geometry.

It has space group F-43m (No. 216), with a = 5.878 Å, b = 5.878 Å, c = 5.878 Å, α = 90.00°, β = 90.00° and γ = 90.00°. Symmetry generates all atoms from Cu at (0.000, 0.000, 0.000), Cu at (0.250, 0.250, 0.250), Ni at (0.250, 0.250, 0.750) and As at (0.000, 0.000, 0.500).

For the density of states at the Fermi level, the calculation gives 1.69 states/eV/f.u. Its volume is 12.7 Å³/atom. For the total energy, the calculation gives -4.64 eV/atom.

---

[5]
VASP calculation (PBE) on crystalline CuNiAs3 at its relaxed geometry.

It has space group Pm-3m (No. 221), with a = 4.638 Å, b = 4.638 Å, c = 4.638 Å, α = 90.00°, β = 90.00° and γ = 90.00°. Symmetry generates all atoms from Cu at (0.000, 0.000, 0.000), Ni at (0.500, 0.500, 0.500) and As at (0.000, 0.000, 0.500).

For the density of states at the Fermi level, the calculation gives 3.65 states/eV/f.u. Its volume is 20.0 Å³/atom. For the total energy, the calculation gives -3.87 eV/atom.

---

[6]
VASP calculation (PBE) on crystalline Cu2NiAs at its relaxed geometry.

It has space group Pmm2 (No. 25), with a = 2.901 Å, b = 3.385 Å, c = 5.249 Å, α = 90.00°, β = 90.00° and γ = 90.00°. Symmetry generates all atoms from Cu at (0.000, 0.000, 0.000), Cu at (0.500, 0.500, 0.227), Ni at (0.000, 0.000, 0.490) and As at (0.500, 0.500, 0.707).

For the density of states at the Fermi level, the calculation gives 2.15 states/eV/f.u. Its volume is 12.9 Å³/atom. For the total energy, the calculation gives -4.65 eV/atom.

---

[7]
VASP calculation (PBE) on crystalline CuNiAs4 at its relaxed geometry.

It has space group P2_1/c (No. 14), with a = 5.884 Å, b = 5.881 Å, c = 5.883 Å, α = 90.00°, β = 90.12° and γ = 90.00°. Symmetry generates all atoms from Cu at (0.000, 0.000, 0.000), Ni at (0.500, 0.000, 0.500), As at (0.130, 0.119, 0.617) and As at (0.387, 0.626, 0.626).

For the density of states at the Fermi level, the calculation gives 3.05 states/eV/f.u. Its volume is 17.0 Å³/atom. For the total energy, the calculation gives -4.83 eV/atom.

---

[8]
VASP calculation (PBE) on crystalline Cu2NiAs2 at its relaxed geometry.

It has space group P4/mbm (No. 127), with a = 6.199 Å, b = 6.199 Å, c = 3.891 Å, α = 90.00°, β = 90.00° and γ = 90.00°. Symmetry generates all atoms from Cu at (0.155, 0.345, 0.000), Ni at (0.000, 0.000, 0.500) and As at (0.152, 0.652, 0.500).

For the density of states at the Fermi level, the calculation gives 2.11 states/eV/f.u. Its volume is 15.0 Å³/atom. For the total energy, the calculation gives -4.54 eV/atom.

---

[9]
VASP calculation (PBE) on crystalline CuNiAs at its relaxed geometry.

It has space group P-6m2 (No. 187), with a = 4.0304 Å, b = 4.0304 Å, c = 2.8820 Å, α = 90.00°, β = 90.00° and γ = 120.00°. Symmetry generates all atoms from Cu at (0.0000, 0.0000, 0.0000), Ni at (0.6667, 0.3333, 0.5000) and As at (0.3333, 0.6667, 0.5000).

For the density of states at the Fermi level, the calculation gives 1.51 states/eV/f.u. Its volume is 13.5 Å³/atom. For the total energy, the calculation gives -4.83 eV/atom.

---

[10]
VASP calculation (PBE) on crystalline Cu2NiAs at its relaxed geometry.

It has space group P2/m (No. 10), with a = 2.708 Å, b = 4.444 Å, c = 4.315 Å, α = 90.00°, β = 90.42° and γ = 90.00°. Symmetry generates all atoms from Cu at (0.227, 0.000, 0.243), Ni at (0.500, 0.500, 0.000) and As at (0.000, 0.500, 0.500).

For the density of states at the Fermi level, the calculation gives 2.10 states/eV/f.u. Its volume is 13.0 Å³/atom. For the total energy, the calculation gives -4.58 eV/atom.

---

[11]
VASP calculation (PBE) on crystalline CuNiAs4 at its relaxed geometry.

It has space group F-43m (No. 216), with a = 7.636 Å, b = 7.636 Å, c = 7.636 Å, α = 90.00°, β = 90.00° and γ = 90.00°. Symmetry generates all atoms from Cu at (0.000, 0.000, 0.000), Ni at (0.250, 0.250, 0.750) and As at (0.126, 0.126, 0.374).

For the density of states at the Fermi level, the calculation gives 5.95 states/eV/f.u. Its volume is 18.6 Å³/atom. For the total energy, the calculation gives -4.01 eV/atom.

---

[12]
VASP calculation (PBE) on crystalline CuNiAs at its relaxed geometry.

It has space group P3m1 (No. 156), with a = 2.8798 Å, b = 2.8798 Å, c = 5.7482 Å, α = 90.00°, β = 90.00° and γ = 120.00°. Symmetry generates all atoms from Cu at (0.0000, 0.0000, 0.0000), Ni at (0.6667, 0.3333, 0.3325) and As at (0.3333, 0.6667, 0.6311).

For the density of states at the Fermi level, the calculation gives 1.19 states/eV/f.u. Its volume is 13.8 Å³/atom. For the total energy, the calculation gives -4.75 eV/atom.

---

[13]
VASP calculation (PBE) on crystalline Cu2NiAs at its relaxed geometry.

It has space group P4/mmm (No. 123), with a = 3.614 Å, b = 3.614 Å, c = 3.860 Å, α = 90.00°, β = 90.00° and γ = 90.00°. Symmetry generates all atoms from Cu at (0.000, 0.500, 0.000), Ni at (0.000, 0.000, 0.500) and As at (0.500, 0.500, 0.500).

For the density of states at the Fermi level, the calculation gives 3.35 states/eV/f.u. Its volume is 12.6 Å³/atom. For the total energy, the calculation gives -4.66 eV/atom.

---

[14]
VASP calculation (PBE) on crystalline Cu2NiAs at its relaxed geometry.

It has space group C2/m (No. 12), with a = 5.011 Å, b = 8.927 Å, c = 2.732 Å, α = 90.00°, β = 121.55° and γ = 90.00°. Symmetry generates all atoms from Cu at (0.250, 0.250, 0.000), Ni at (0.000, 0.000, 0.500) and As at (0.000, 0.500, 0.500).

For the density of states at the Fermi level, the calculation gives 2.33 states/eV/f.u. Its volume is 13.0 Å³/atom. For the total energy, the calculation gives -4.57 eV/atom.

---

[15]
VASP calculation (PBE) on crystalline CuNi14As at its relaxed geometry.

It has space group Amm2 (No. 38), with a = 8.191 Å, b = 5.039 Å, c = 8.633 Å, α = 90.00°, β = 90.00° and γ = 90.00°. Symmetry generates all atoms from Cu at (0.000, 0.000, 0.000), Ni at (0.000, 0.250, 0.251), Ni at (0.252, 0.000, 0.331), Ni at (0.252, 0.250, 0.082), Ni at (0.254, 0.000, 0.832), Ni at (0.500, 0.000, 0.164), Ni at (0.500, 0.000, 0.664), Ni at (0.500, 0.249, 0.415) and As at (0.000, 0.000, 0.502).

For the density of states at the Fermi level, the calculation gives 26.89 states/eV/f.u. Its volume is 11.1 Å³/atom. For the total energy, the calculation gives -5.62 eV/atom.

---

[16]
VASP calculation (PBE) on crystalline CuNi2As2 at its relaxed geometry.

It has space group P4/mbm (No. 127), with a = 6.691 Å, b = 6.691 Å, c = 3.119 Å, α = 90.00°, β = 90.00° and γ = 90.00°. Symmetry generates all atoms from Cu at (0.000, 0.000, 0.000), Ni at (0.135, 0.365, 0.000) and As at (0.166, 0.666, 0.500).

For the density of states at the Fermi level, the calculation gives 1.75 states/eV/f.u. Its volume is 14.0 Å³/atom. For the total energy, the calculation gives -4.99 eV/atom.

---

[17]
VASP calculation (PBE) on crystalline Cu12Ni6As at its relaxed geometry.

It has space group R-3m (No. 166, hexagonal axes), with a = 9.6595 Å, b = 9.6595 Å, c = 8.6516 Å, α = 90.00°, β = 90.00° and γ = 120.00°. Symmetry generates all atoms from Cu at (0.0000, 0.2582, 0.0000), Cu at (0.0867, 0.1733, 0.7601), Ni at (0.0520, 0.5260, 0.1227) and As at (0.0000, 0.0000, 0.5000).

For the density of states at the Fermi level, the calculation gives 13.81 states/eV/f.u. Its volume is 12.3 Å³/atom. For the total energy, the calculation gives -4.57 eV/atom.

---

[18]
VASP calculation (PBE) on crystalline Cu5Ni6As at its relaxed geometry.

It has space group Immm (No. 71), with a = 3.780 Å, b = 6.562 Å, c = 11.155 Å, α = 90.00°, β = 90.00° and γ = 90.00°. Symmetry generates all atoms from Cu at (0.000, 0.000, 0.000), Cu at (0.000, 0.000, 0.315), Cu at (0.000, 0.500, 0.341), Ni at (0.000, 0.228, 0.500), Ni at (0.000, 0.262, 0.163) and As at (0.000, 0.500, 0.000).

For the density of states at the Fermi level, the calculation gives 5.82 states/eV/f.u. Its volume is 11.5 Å³/atom. For the total energy, the calculation gives -5.03 eV/atom.

---

[19]
VASP calculation (PBE) on crystalline Cu2NiAs at its relaxed geometry.

It has space group I4/mmm (No. 139), with a = 3.594 Å, b = 3.594 Å, c = 7.815 Å, α = 90.00°, β = 90.00° and γ = 90.00°. Symmetry generates all atoms from Cu at (0.000, 0.500, 0.250), Ni at (0.000, 0.000, 0.000) and As at (0.000, 0.000, 0.500).

For the density of states at the Fermi level, the calculation gives 1.89 states/eV/f.u. Its volume is 12.6 Å³/atom. For the total energy, the calculation gives -4.67 eV/atom.

---

[20]
VASP calculation (PBE) on crystalline Cu2NiAs at its relaxed geometry.

It has space group R3m (No. 160, hexagonal axes), with a = 2.8146 Å, b = 2.8146 Å, c = 23.4219 Å, α = 90.00°, β = 90.00° and γ = 120.00°. Symmetry generates all atoms from Cu at (0.0000, 0.0000, 0.0000), Cu at (0.0000, 0.0000, 0.2504), Ni at (0.0000, 0.0000, 0.5007) and As at (0.0000, 0.0000, 0.7596).

For the density of states at the Fermi level, the calculation gives 2.59 states/eV/f.u. Its volume is 13.4 Å³/atom. For the total energy, the calculation gives -4.51 eV/atom.

---

[21]
VASP calculation (PBE) on crystalline CuNiAs3 at its relaxed geometry.

It has space group Pm-3m (No. 221), with a = 4.603 Å, b = 4.603 Å, c = 4.603 Å, α = 90.00°, β = 90.00° and γ = 90.00°. Symmetry generates all atoms from Cu at (0.000, 0.000, 0.000), Ni at (0.500, 0.500, 0.500) and As at (0.000, 0.500, 0.500).

For the density of states at the Fermi level, the calculation gives 4.30 states/eV/f.u. Its volume is 19.5 Å³/atom. For the total energy, the calculation gives -4.16 eV/atom.

---

[22]
VASP calculation (PBE) on crystalline Cu2Ni2As at its relaxed geometry.

It has space group P4/mbm (No. 127), with a = 5.925 Å, b = 5.925 Å, c = 3.708 Å, α = 90.00°, β = 90.00° and γ = 90.00°. Symmetry generates all atoms from Cu at (0.152, 0.348, 0.000), Ni at (0.145, 0.645, 0.500) and As at (0.000, 0.000, 0.500).

For the density of states at the Fermi level, the calculation gives 3.88 states/eV/f.u. Its volume is 13.0 Å³/atom. For the total energy, the calculation gives -4.85 eV/atom.

---

[23]
VASP calculation (PBE) on crystalline Np2CuNi4As3 at its relaxed geometry.

It has space group P-4m2 (No. 115), with a = 4.030 Å, b = 4.030 Å, c = 9.700 Å, α = 90.00°, β = 90.00° and γ = 90.00°. Symmetry generates all atoms from Np at (0.000, 0.500, 0.249), Cu at (0.500, 0.500, 0.000), Ni at (0.000, 0.000, 0.500), Ni at (0.000, 0.500, 0.871), Ni at (0.500, 0.500, 0.500), As at (0.000, 0.000, 0.000) and As at (0.000, 0.500, 0.634).

For the density of states at the Fermi level, the calculation gives 24.38 states/eV/f.u. Its volume is 15.8 Å³/atom. For the total energy, the calculation gives -7.12 eV/atom.

---

[24]
VASP calculation (PBE) on crystalline CuNiAsPd2 at its relaxed geometry.

It has space group P4/mmm (No. 123), with a = 4.593 Å, b = 4.593 Å, c = 4.272 Å, α = 90.00°, β = 90.00° and γ = 90.00°. Symmetry generates all atoms from Cu at (0.000, 0.000, 0.000), Ni at (0.000, 0.000, 0.500), As at (0.500, 0.500, 0.500) and Pd at (0.000, 0.500, 0.000).

For the density of states at the Fermi level, the calculation gives 6.80 states/eV/f.u. Its volume is 18.0 Å³/atom. For the total energy, the calculation gives -4.18 eV/atom.

---

[25]
VASP calculation (PBE) on crystalline PmCuNiAs at its relaxed geometry.

It has space group F-43m (No. 216), with a = 6.491 Å, b = 6.491 Å, c = 6.491 Å, α = 90.00°, β = 90.00° and γ = 90.00°. Symmetry generates all atoms from Pm at (0.000, 0.000, 0.000), Cu at (0.250, 0.250, 0.250), Ni at (0.250, 0.250, 0.750) and As at (0.000, 0.000, 0.500).

For the density of states at the Fermi level, the calculation gives 1.62 states/eV/f.u. Its volume is 17.1 Å³/atom. For the total energy, the calculation gives -5.11 eV/atom.